PrDy3Ru | GGA-PBE | relaxed

Cell lengths 5.4145, 5.4145, 5.4145 Å; angles 90.00, 90.00, 90.00 degrees
Space group Pm-3m (No. 221)
Unique sites:
Pr: 0.0000 0.0000 0.0000 [1 per cell]
Dy: 0.0000 0.5000 0.5000 [3 per cell]
Ru: 0.5000 0.5000 0.5000 [1 per cell]

* crystal system: cubic



TlZnCdAg | GGA-PBE | relaxed

Cell lengths 3.1757, 3.2242, 8.4478 Å; angles 94.12, 90.02, 90.00 degrees
Space group P1 (No. 1)
Unique sites:
Tl: 0.0000 0.0000 0.0000 [1 per cell]
Zn: 0.9984 0.0220 0.4648 [1 per cell]
Cd: 0.4999 0.5495 0.6868 [1 per cell]
Ag: 0.4985 0.4926 0.2813 [1 per cell]

* energy relative to the lowest polymorph listed for this composition: 0.0000 eV per atom
* crystal system: triclinic



| no. | formation energy from the elements (eV per atom) |
| --- | --- |
| 1 | -0.0864 |
| 2 | 0.0738 |